A relaxed Mg2CdHPt crystal. Source: the Alexandria database, functional PBE.

Unit cell a=4.1756 b=4.1756 c=4.2744 alpha=90.00 beta=90.00 gamma=90.00
With the nearest neighbours (Å) after each atom.
Fractional coordinates of all 5 atoms:
1 Mg 0.0000 0.5000 0.0000  2 H 2.09
2 Mg 0.5000 0.0000 0.0000  2 H 2.09
3 Cd 0.0000 0.0000 0.5000  2 H 2.14
4 H 0.0000 0.0000 0.0000  4 Mg 2.09, 2 Cd 2.14
5 Pt 0.5000 0.5000 0.5000  4 Cd 2.95, 8 Mg 2.99

Calculated values
Magnetic moment = 0.00 μB per cell
Energy relative to the lowest polymorph listed for this composition = 90.7 meV/atom